No. 1
A relaxed RbSc2I7 crystal, computed with GGA-PBE.

a = 5.761 Å, b = 9.024 Å, c = 9.024 Å
α = 117.09°, β = 90.00°, γ = 90.00°
Fractional coordinates of all 10 atoms:
I1 0.500 0.047 0.330
I2 0.000 0.301 0.699
I3 0.500 0.330 0.047
I4 0.500 0.953 0.670
I5 0.500 0.670 0.953
I6 0.000 0.699 0.301
I7 0.500 0.500 0.500
Sc1 0.500 0.699 0.301
Sc2 0.500 0.301 0.699
Rb1 0.000 0.000 0.000

Results
* uncorrected formation energy: -1.15 eV per atom
* electronic total energy: -35.992 eV/cell

---

No. 2
A relaxed MgZrTe2 crystal, computed with GGA-PBE.

a = 8.278 Å, b = 8.278 Å, c = 8.278 Å
α = 30.11°, β = 30.11°, γ = 30.11°
Fractional coordinates of all 4 atoms:
Mg1 0.749 0.749 0.749
Te1 0.039 0.039 0.039
Te2 0.222 0.222 0.222
Zr1 0.490 0.490 0.490

Results
* uncorrected formation energy: -0.35 eV per atom
* electronic total energy: -17.835 eV/cell

---

No. 3
A relaxed InHgTeBr crystal, computed with GGA-PBE.

a = 4.351 Å, b = 4.351 Å, c = 8.934 Å
α = 90.00°, β = 90.00°, γ = 60.00°
Fractional coordinates of all 4 atoms:
Hg1 0.239 0.239 0.198
Te1 0.906 0.906 0.655
In1 0.239 0.239 0.502
Br1 0.573 0.573 0.029

Results
* uncorrected formation energy: -0.38 eV per atom
* electronic total energy: -9.376 eV/cell

---

No. 4
A relaxed Nd5Y2Mg crystal, computed with GGA-PBE.

a = 7.306 Å, b = 7.306 Å, c = 6.820 Å
α = 105.56°, β = 105.56°, γ = 119.96°
Fractional coordinates of all 8 atoms:
Y1 0.225 0.814 0.482
Y2 0.742 0.331 0.518
Nd1 0.327 0.229 0.000
Nd2 0.736 0.820 0.499
Nd3 0.330 0.749 0.000
Nd4 0.807 0.225 0.000
Nd5 0.236 0.320 0.501
Mg1 0.821 0.734 0.000

Results
* excess energy over the best structure of this formula in the dataset: 0.000 eV/atom
* electronic total energy: -38.377 eV/cell

---

No. 5
A relaxed Ca2ReO4F crystal, computed with GGA-PBE.

a = 3.316 Å, b = 5.150 Å, c = 6.681 Å
α = 68.18°, β = 75.63°, γ = 71.22°
Fractional coordinates of all 8 atoms:
Re1 0.000 0.000 0.000
O1 0.608 0.726 0.058
O2 0.853 0.010 0.283
O3 0.392 0.274 0.942
O4 0.147 0.990 0.717
F1 0.500 0.500 0.500
Ca1 0.175 0.361 0.289
Ca2 0.825 0.639 0.711

Results
* uncorrected formation energy: -2.49 eV per atom
* electronic total energy: -58.043 eV/cell

---

No. 6
A relaxed AcEuPu crystal, computed with GGA-PBE.

a = 3.753 Å, b = 3.753 Å, c = 8.422 Å
α = 102.87°, β = 102.87°, γ = 90.00°
Last column: magnetic moment on the atom in μB.
Fractional coordinates of all 3 atoms:
Eu1 0.010 0.010 0.021  7.00
Ac1 0.324 0.324 0.648  0.02
Pu1 0.665 0.665 0.331  5.70

Results
* electronic total energy: -28.125 eV/cell

---

No. 7
A relaxed Y2BeSi crystal, computed with GGA-PBE.

a = 3.848 Å, b = 5.769 Å, c = 8.267 Å
α = 110.84°, β = 90.00°, γ = 90.00°
Fractional coordinates of all 8 atoms:
Y1 0.250 0.785 0.084
Y2 0.250 0.776 0.557
Y3 0.750 0.224 0.443
Y4 0.750 0.215 0.916
Si1 0.750 0.640 0.787
Si2 0.250 0.360 0.213
Be1 0.750 0.594 0.273
Be2 0.250 0.406 0.727

Results
* uncorrected formation energy: -0.49 eV per atom
* excess energy over the best structure of this formula in the dataset: 0.000 eV/atom
* electronic total energy: -48.048 eV/cell

---

No. 8
A relaxed Te4AsCl crystal, computed with GGA-PBE.

a = 7.903 Å, b = 10.864 Å, c = 8.090 Å
α = 132.18°, β = 110.98°, γ = 90.00°
Fractional coordinates of all 12 atoms:
Cl1 0.272 0.123 0.246
Cl2 0.728 0.877 0.754
As1 0.137 0.400 0.800
As2 0.863 0.600 0.200
Te1 0.611 0.349 0.698
Te2 0.000 0.319 0.000
Te3 0.389 0.651 0.302
Te4 0.612 0.834 0.260
Te5 0.388 0.574 0.740
Te6 0.000 0.681 0.000
Te7 0.388 0.166 0.740
Te8 0.612 0.426 0.260

Results
* uncorrected formation energy: -0.05 eV per atom
* excess energy over the best structure of this formula in the dataset: 0.000 eV/atom
* electronic total energy: -38.767 eV/cell

---

No. 9
A relaxed HgAsCl3 crystal, computed with GGA-PBE.

a = 5.072 Å, b = 5.072 Å, c = 5.072 Å
α = 90.00°, β = 90.00°, γ = 90.00°
Fractional coordinates of all 5 atoms:
Hg1 0.500 0.500 0.500
Cl1 0.000 0.500 0.000
Cl2 0.000 0.000 0.500
Cl3 0.500 0.000 0.000
As1 0.000 0.000 0.000

Results
* uncorrected formation energy: -0.31 eV per atom
* excess energy over the best structure of this formula in the dataset: 0.239 eV/atom
* electronic total energy: -12.056 eV/cell

---

No. 10
A relaxed CaIn2Au crystal, computed with GGA-PBE.

a = 5.170 Å, b = 5.170 Å, c = 5.054 Å
α = 60.73°, β = 60.73°, γ = 58.48°
Fractional coordinates of all 4 atoms:
In1 0.000 0.000 0.000
In2 0.750 0.750 0.750
Au1 0.500 0.500 0.500
Ca1 0.250 0.250 0.250

Results
* electronic total energy: -12.350 eV/cell

---

No. 11
A relaxed CaZr2Br crystal, computed with GGA-PBE.

a = 5.227 Å, b = 5.227 Å, c = 5.227 Å
α = 60.00°, β = 60.00°, γ = 60.00°
Fractional coordinates of all 4 atoms:
Br1 0.500 0.500 0.500
Ca1 0.000 0.000 0.000
Zr1 0.750 0.750 0.750
Zr2 0.250 0.250 0.250

Results
* uncorrected formation energy: 0.65 eV per atom
* excess energy over the best structure of this formula in the dataset: 0.961 eV/atom
* electronic total energy: -18.151 eV/cell

---

No. 12
A relaxed SrCr2Cu crystal, computed with GGA-PBE.

a = 3.413 Å, b = 3.413 Å, c = 6.744 Å
α = 90.00°, β = 90.00°, γ = 90.00°
Last column: magnetic moment on the atom in μB.
Fractional coordinates of all 4 atoms:
Cr1 0.000 0.000 0.114  0.20
Cr2 0.000 0.000 0.386  0.20
Cu1 0.500 0.500 0.250  0.01
Sr1 0.500 0.500 0.750  0.02

Results
* excess energy over the best structure of this formula in the dataset: 0.313 eV/atom
* electronic total energy: -22.086 eV/cell

---

> Which of these has the lowest electronic total energy?

Ca2ReO4F